Density functional theory data (PBE) for a relaxed structure of SmHfNi2P2.

abc: 3.832 3.832 7.619
angles: 90.00 90.00 120.00
Element x y z (fractional)
Sm (0.000, 0.000, 0.000)
Hf (0.000, 0.000, 0.500)
Ni (0.667, 0.333, 0.279)
Ni (0.333, 0.667, 0.721)
P (0.667, 0.333, 0.734)
P (0.333, 0.667, 0.266)

**Total DFT energy (no corrections)**: -0.268 hartree per atom
**Magnetic moment**: 0.000 μB per formula unit
**SG**: P-3m1, No. 164


Density functional theory data (PBE) for a relaxed structure of ScCd2Pt.

abc: 8.189 8.189 6.375
angles: 50.04 50.04 90.00
Element x y z (fractional)
Sc (0.500, 0.500, 0.000)
Sc (0.250, 0.750, 0.500)
Pt (0.000, 0.000, 0.000)
Pt (0.750, 0.250, 0.500)
Cd (0.670, 0.125, 0.250)
Cd (0.080, 0.625, 0.250)
Cd (0.375, 0.330, 0.750)
Cd (0.875, 0.920, 0.750)

**Total DFT energy (no corrections)**: -0.138 hartree per atom
**Magnetic moment**: 0.000 μB per formula unit
**SG**: I-42d, No. 122


no.,DFT formation energy (kcal/mol of atoms)
1,-25.9
2,-4.7